Entry 1:
Here is a relaxed structure of UNbIn from the Open Quantum Materials Database. Energies are from PBE.

Results
size of the total moment = 0.03 μB per formula unit
excess energy over the best structure of this formula in the dataset = 0.534 eV/atom
V = 25.918 A^3/atom
crystal system = cubic
SG = F-43m

Lattice parameters (Å, degrees): 4.7908 4.7908 4.7908 60.00 60.00 60.00
With the nearest neighbours (Å) after each atom.
Atoms (fractional coordinates):
In: 0.2500 0.2500 0.2500  4 U 2.93
Nb: 0.7500 0.7500 0.7500  4 U 2.93
U: 0.0000 0.0000 0.0000  4 Nb 2.93, 4 In 2.93

***

Entry 2:
Here is a relaxed structure of ZnAsPO from the Open Quantum Materials Database. Energies are from PBE.

Results
excess energy over the best structure of this formula in the dataset = 0.000 eV/atom
V = 18.397 A^3/atom
crystal system = orthorhombic
SG = Pmc2_1

Lattice parameters (Å, degrees): 3.3995 7.3479 5.8921 90.00 90.00 90.00
With the nearest neighbours (Å) after each atom.
Atoms (fractional coordinates):
As: 0.5000 0.3406 0.0535  1 O 1.84
As: 0.5000 0.6594 0.5535  1 O 1.84
O: 0.5000 0.2365 0.3378  1 As 1.84, 2 Zn 2.01
O: 0.5000 0.7635 0.8378  1 As 1.84, 2 Zn 2.01
P: 0.0000 0.8304 0.3815  2 As 2.34, 2 Zn 2.36-2.40
P: 0.0000 0.1696 0.8815  2 As 2.34, 2 Zn 2.36-2.40
Zn: 0.0000 0.1476 0.4813  2 O 2.01
Zn: 0.0000 0.8524 0.9813  2 O 2.01

***

Entry 3:
Here is a relaxed structure of TcGeIr2 from the Open Quantum Materials Database. Energies are from PBE.

Results
total energy = -8.017 eV/atom
size of the total moment = 0.00 μB per formula unit
V = 14.790 A^3/atom
crystal system = cubic
SG = F-43m

Lattice parameters (Å, degrees): 4.3737 4.3737 4.3737 60.00 60.00 60.00
With the nearest neighbours (Å) after each atom.
Atoms (fractional coordinates):
Ge: 0.5000 0.5000 0.5000  4 Ir 2.68, 4 Tc 2.68
Ir: 0.0000 0.0000 0.0000  4 Ir 2.68, 4 Tc 2.68
Ir: 0.7500 0.7500 0.7500  4 Ge 2.68, 4 Ir 2.68
Tc: 0.2500 0.2500 0.2500  4 Ge 2.68, 4 Ir 2.68

***

Entry 4:
Here is a relaxed structure of HoBe3Pb from the Open Quantum Materials Database. Energies are from PBE.

Results
total energy = -3.206 eV/atom
size of the total moment = 0.00 μB per formula unit
V = 16.104 A^3/atom
crystal system = orthorhombic
SG = Imma

Lattice parameters (Å, degrees): 6.6048 6.6048 6.6048 142.69 84.03 107.98
With the nearest neighbours (Å) after each atom.
Atoms (fractional coordinates):
Be: 0.1112 0.5000 0.1112  3 Be 2.11-2.18
Be: 0.5583 0.3083 0.2500  2 Be 2.30, 3 Pb 2.31-2.54
Be: 0.8888 0.0000 0.3888  3 Be 2.11-2.18
Be: 0.1112 0.0000 0.6112  3 Be 2.11-2.18
Be: 0.4417 0.6917 0.7500  2 Be 2.30, 3 Pb 2.31-2.54
Be: 0.8888 0.5000 0.8888  3 Be 2.11-2.18
Ho: 0.5000 0.5000 0.0000  6 Be 2.60-2.87
Ho: 0.0000 0.5000 0.5000  6 Be 2.60-2.87
Pb: 0.2603 0.0103 0.2500  7 Be 2.31-2.54
Pb: 0.7397 0.9897 0.7500  7 Be 2.31-2.54

***

Entry 5:
Here is a relaxed structure of TbGeAu from the Open Quantum Materials Database. Energies are from PBE.

Results
total energy = -4.994 eV/atom
size of the total moment = 0.00 μB per formula unit
V = 20.924 A^3/atom
crystal system = hexagonal
SG = P-62m

Lattice parameters (Å, degrees): 7.1914 7.1914 4.2046 90.00 90.00 120.00
With the nearest neighbours (Å) after each atom.
Atoms (fractional coordinates):
Au: 0.2612 0.0000 0.0000  4 Ge 2.69-2.82
Au: 0.0000 0.2612 0.0000  4 Ge 2.69-2.82
Au: 0.7388 0.7388 0.0000  4 Ge 2.69-2.82
Ge: 0.6667 0.3333 0.0000  3 Au 2.69
Ge: 0.3333 0.6667 0.0000  3 Au 2.69
Ge: 0.0000 0.0000 0.5000  6 Au 2.82, 3 Tb 2.97
Tb: 0.5875 0.0000 0.5000  5 Ge 2.97-3.02, 2 Au 3.15
Tb: 0.4125 0.4125 0.5000  5 Ge 2.97-3.02, 2 Au 3.15
Tb: 0.0000 0.5875 0.5000  5 Ge 2.97-3.02, 2 Au 3.15

***

Entry 6:
Here is a relaxed structure of CsAgIrSe3 from the Open Quantum Materials Database. Energies are from PBE.

Results
size of the total moment = 0.00 μB per formula unit
excess energy over the best structure of this formula in the dataset = 0.000 eV/atom
V = 27.328 A^3/atom
crystal system = monoclinic
SG = P2_1/m

Lattice parameters (Å, degrees): 8.7474 3.9542 10.2982 90.00 112.98 90.00
With the nearest neighbours (Å) after each atom.
Atoms (fractional coordinates):
Ag: 0.4427 0.7500 0.3967  4 Se 2.60-2.76, 2 Ag 2.79
Ag: 0.5573 0.2500 0.6033  4 Se 2.60-2.76, 2 Ag 2.79
Cs: 0.7466 0.2500 0.2750  8 Se 3.64-3.95, 2 Ag 3.89, 2 Cs 3.95
Cs: 0.2534 0.7500 0.7250  8 Se 3.64-3.95, 2 Ag 3.89, 2 Cs 3.95
Ir: 0.1730 0.2500 0.1402  6 Se 2.49-2.57
Ir: 0.8270 0.7500 0.8598  6 Se 2.49-2.57
Se: 0.9822 0.7500 0.1208  3 Ir 2.49-2.54
Se: 0.3519 0.7500 0.1246  2 Ir 2.56, 1 Ag 2.60
Se: 0.2352 0.2500 0.4058  1 Ir 2.57, 3 Ag 2.71-2.76
Se: 0.7648 0.7500 0.5942  1 Ir 2.57, 3 Ag 2.71-2.76
Se: 0.6481 0.2500 0.8754  2 Ir 2.56, 1 Ag 2.60
Se: 0.0178 0.2500 0.8792  3 Ir 2.49-2.54

***

Entry 7:
Here is a relaxed structure of NaPuSi from the Open Quantum Materials Database. Energies are from PBE.

Results
total energy = -6.842 eV/atom
size of the total moment = 4.99 μB per formula unit
V = 26.283 A^3/atom
crystal system = cubic
SG = F-43m

Lattice parameters (Å, degrees): 4.8132 4.8132 4.8132 60.00 60.00 60.00
With the nearest neighbours (Å) after each atom.
Atoms (fractional coordinates):
Na: 0.2500 0.2500 0.2500  4 Si 2.95
Pu: 0.7500 0.7500 0.7500  4 Si 2.95
Si: 0.0000 0.0000 0.0000  4 Na 2.95, 4 Pu 2.95

***

Entry 8:
Here is a relaxed structure of TbSnB4 from the Open Quantum Materials Database. Energies are from PBE.

Results
size of the total moment = 0.00 μB per formula unit
excess energy over the best structure of this formula in the dataset = 0.115 eV/atom
V = 12.403 A^3/atom
crystal system = hexagonal
SG = P6/mmm

Lattice parameters (Å, degrees): 3.2312 3.2312 8.2301 90.00 90.00 120.00
With the nearest neighbours (Å) after each atom.
Atoms (fractional coordinates):
B: 0.6667 0.3333 0.2659  3 B 1.87
B: 0.3333 0.6667 0.2659  3 B 1.87
B: 0.6667 0.3333 0.7341  3 B 1.87
B: 0.3333 0.6667 0.7341  3 B 1.87
Sn: 0.0000 0.0000 0.0000  12 B 2.88
Tb: 0.0000 0.0000 0.5000  12 B 2.68

***

Entry 9:
Here is a relaxed structure of SrCd2Pd2 from the Open Quantum Materials Database. Energies are from PBE.

Results
total energy = -3.256 eV/atom
V = 23.384 A^3/atom
crystal system = tetragonal
SG = I4/mmm

Lattice parameters (Å, degrees): 6.7531 6.7531 6.7531 141.80 141.80 55.13
With the nearest neighbours (Å) after each atom.
Atoms (fractional coordinates):
Cd: 0.7500 0.2500 0.5000  4 Pd 2.78
Cd: 0.2500 0.7500 0.5000  4 Pd 2.78
Pd: 0.3908 0.3908 0.0000  1 Pd 2.62, 4 Cd 2.78
Pd: 0.6092 0.6092 0.0000  1 Pd 2.62, 4 Cd 2.78
Sr: 0.0000 0.0000 0.0000  8 Pd 3.39, 8 Cd 3.72

***

Entry 10:
Here is a relaxed structure of TaInFeTc from the Open Quantum Materials Database. Energies are from PBE.

Results
size of the total moment = 0.89 μB per formula unit
excess energy over the best structure of this formula in the dataset = 0.000 eV/atom
V = 15.699 A^3/atom
crystal system = cubic
SG = F-43m

Lattice parameters (Å, degrees): 4.4615 4.4615 4.4615 60.00 60.00 60.00
With the nearest neighbours (Å) after each atom.
Atoms (fractional coordinates):
Fe: 0.7500 0.7500 0.7500  4 Ta 2.73, 4 In 2.73
In: 0.0000 0.0000 0.0000  4 Fe 2.73, 4 Tc 2.73
Ta: 0.5000 0.5000 0.5000  4 Fe 2.73, 4 Tc 2.73
Tc: 0.2500 0.2500 0.2500  4 Ta 2.73, 4 In 2.73

***

Entry 11:
Here is a relaxed structure of YErTe2 from the Open Quantum Materials Database. Energies are from PBE.

Results
size of the total moment = 0.00 μB per formula unit
excess energy over the best structure of this formula in the dataset = 0.000 eV/atom
V = 29.317 A^3/atom
crystal system = trigonal
SG = P-3m1

Lattice parameters (Å, degrees): 4.2558 4.2558 7.4761 90.00 90.00 120.00
With the nearest neighbours (Å) after each atom.
Atoms (fractional coordinates):
Er: 0.0000 0.0000 0.5000  6 Te 3.07
Te: 0.3333 0.6667 0.2538  3 Er 3.07, 3 Y 3.10
Te: 0.6667 0.3333 0.7462  3 Er 3.07, 3 Y 3.10
Y: 0.0000 0.0000 0.0000  6 Te 3.10

***

Entry 12:
Here is a relaxed structure of BeFeMo from the Open Quantum Materials Database. Energies are from PBE.

Results
size of the total moment = 0.01 μB per formula unit
excess energy over the best structure of this formula in the dataset = 0.000 eV/atom
V = 13.218 A^3/atom
crystal system = cubic
SG = F-43m

Lattice parameters (Å, degrees): 3.8276 3.8276 3.8276 60.00 60.00 60.00
With the nearest neighbours (Å) after each atom.
Atoms (fractional coordinates):
Be: 0.2500 0.2500 0.2500  4 Fe 2.34
Fe: 0.0000 0.0000 0.0000  4 Mo 2.34, 4 Be 2.34
Mo: 0.7500 0.7500 0.7500  4 Fe 2.34

***

> Among the records above, which one has the lowest V?

TbSnB4

***

> Which of these has the highest V?

YErTe2

***

> Which of these has the lowest V?

TbSnB4

***

> Number 1 is which compound?

UNbIn